An optimized crystal structure of Nd8InSn6. Source: Alexandria, functional PBE.

It has space group R-3 (No. 148, hexagonal axes), with a = 9.4494 Å, b = 9.4494 Å, c = 19.4859 Å, α = 90.00°, β = 90.00° and γ = 120.00°. The inequivalent atoms are Nd at (0.0000, 0.0000, 0.1671), Nd at (0.0064, 0.2920, 0.5975), In at (0.0000, 0.0000, 0.5000) and Sn at (0.0040, 0.3647, 0.4285).



An optimized crystal structure of Nd3InSn3. Source: Alexandria, functional PBE.

It has space group P6_3/m (No. 176), with a = 9.2397 Å, b = 9.2397 Å, c = 6.1658 Å, α = 90.00°, β = 90.00° and γ = 120.00°. The inequivalent atoms are Nd at (0.0807, 0.4097, 0.2500), In at (0.3333, 0.6667, 0.7500) and Sn at (0.0628, 0.3191, 0.7500).



An optimized crystal structure of Nd2InSn9. Source: Alexandria, functional PBE.

It has space group P4/mmm (No. 123), with a = 4.680 Å, b = 4.680 Å, c = 15.031 Å, α = 90.00°, β = 90.00° and γ = 90.00°. The inequivalent atoms are Nd at (0.000, 0.000, 0.156), In at (0.000, 0.000, 0.500), Sn at (0.000, 0.500, 0.000), Sn at (0.000, 0.500, 0.333), Sn at (0.500, 0.500, 0.170) and Sn at (0.500, 0.500, 0.500).



An optimized crystal structure of Nd8InSn5. Source: Alexandria, functional PBE.

It has space group I-4 (No. 82), with a = 9.605 Å, b = 9.605 Å, c = 9.619 Å, α = 90.00°, β = 90.00° and γ = 90.00°. The inequivalent atoms are Nd at (0.069, 0.177, 0.303), Nd at (0.073, 0.319, 0.943), In at (0.000, 0.500, 0.250), Sn at (0.000, 0.000, 0.000) and Sn at (0.126, 0.252, 0.623).



no.,calculated density (g cm⁻³),formation energy from the elements (kJ/mol of atoms),N(E_F) (states/eV/atom)
1,6.55,-55.49,0.500
2,6.58,-43.39,0.823
3,7.42,-30.14,0.364
4,6.97,-64.78,0.735